Record 1
Below is ZnCoAg2 after structural relaxation, with properties calculated at the PBE-GGA level.

**Symmetry**: Cmmm
**M_tot**: 1.43 μB/cell
**Energy of formation**: 0.237 eV per atom

Lattice parameters (Å, degrees): 4.875 4.875 2.743 90.00 90.00 110.54
Fractional positions:
Zn 0.000 0.000 0.000
Co 0.500 0.500 0.000
Ag 0.000 0.500 0.500
Ag 0.500 0.000 0.500

Record 2
Below is LiMgSi3 after structural relaxation, with properties calculated at the PBE-GGA level.

**Symmetry**: Pm-3m
**M_tot**: 0.00 μB/cell
**Uncorrected formation energy**: 0.6528 eV per atom

Lattice parameters (Å, degrees): 4.462 4.462 4.462 90.00 90.00 90.00
Fractional positions:
Li 0.000 0.000 0.000
Mg 0.500 0.500 0.500
Si 0.000 0.000 0.500
Si 0.000 0.500 0.000
Si 0.500 0.000 0.000

Record 3
Below is Ta2FeS after structural relaxation, with properties calculated at the PBE-GGA level.

**Symmetry**: I-42d
**M_tot**: 0.00 μB/cell
**Uncorrected formation energy**: 0.5057 eV per atom

Lattice parameters (Å, degrees): 7.138 7.138 7.138 137.82 137.82 61.18
Fractional positions:
Ta 0.106 0.625 0.981
Ta 0.375 0.356 0.481
Ta 0.644 0.125 0.019
Ta 0.875 0.894 0.519
Fe 0.000 0.000 0.000
Fe 0.750 0.250 0.500
S 0.250 0.750 0.500
S 0.500 0.500 0.000

Record 4
Below is Tb4Dy2Er7 after structural relaxation, with properties calculated at the PBE-GGA level.

**Symmetry**: P-31m
**M_tot**: 0.00 μB/cell
**Energy of formation**: 0.170 eV per atom

Lattice parameters (Å, degrees): 6.008 6.008 13.193 90.00 90.00 120.00
Fractional positions:
Tb 0.000 0.000 0.107
Tb 0.000 0.000 0.893
Tb 0.333 0.667 0.000
Tb 0.667 0.333 0.000
Dy 0.333 0.667 0.500
Dy 0.667 0.333 0.500
Er 0.000 0.000 0.500
Er 0.000 0.353 0.714
Er 0.000 0.647 0.286
Er 0.353 0.000 0.714
Er 0.353 0.353 0.286
Er 0.647 0.000 0.286
Er 0.647 0.647 0.714

Record 5
Below is CuAgPCl2 after structural relaxation, with properties calculated at the PBE-GGA level.

**Symmetry**: P4/mmm
**M_tot**: 1.66 μB/cell
**Uncorrected formation energy**: 0.3207 eV per atom

Lattice parameters (Å, degrees): 4.917 4.917 4.504 90.00 90.00 90.00
Fractional positions:
Cu 0.000 0.000 0.000
Ag 0.500 0.500 0.500
P 0.000 0.000 0.500
Cl 0.000 0.500 0.000
Cl 0.500 0.000 0.000

Record 6
Below is In3BPt after structural relaxation, with properties calculated at the PBE-GGA level.

**Symmetry**: Pm-3m
**M_tot**: 0.00 μB/cell
**Energy of formation**: 0.763 eV per atom

Lattice parameters (Å, degrees): 5.151 5.151 5.151 90.00 90.00 90.00
Fractional positions:
In 0.000 0.000 0.500
In 0.000 0.500 0.000
In 0.500 0.000 0.000
B 0.500 0.500 0.500
Pt 0.000 0.000 0.000

Record 7
Below is LaGd2Pu after structural relaxation, with properties calculated at the PBE-GGA level.

**Symmetry**: Fm-3m
**M_tot**: 8.38 μB/cell
**Energy of formation**: 0.226 eV per atom

Lattice parameters (Å, degrees): 5.685 5.685 5.685 60.00 60.00 60.00
Fractional positions:
La 0.000 0.000 0.000
Gd 0.250 0.250 0.250
Gd 0.750 0.750 0.750
Pu 0.500 0.500 0.500

Record 8
Below is BaZnPd3 after structural relaxation, with properties calculated at the PBE-GGA level.

**Symmetry**: P6_3/mmc
**M_tot**: 0.00 μB/cell
**Energy of formation**: -0.418 eV per atom

Lattice parameters (Å, degrees): 6.325 6.325 6.138 90.00 90.00 120.00
Fractional positions:
Ba 0.333 0.667 0.250
Ba 0.667 0.333 0.750
Zn 0.000 0.000 0.000
Zn 0.000 0.000 0.500
Pd 0.187 0.373 0.750
Pd 0.187 0.813 0.750
Pd 0.373 0.187 0.250
Pd 0.627 0.813 0.750
Pd 0.813 0.187 0.250
Pd 0.813 0.627 0.250

Record 9
Below is AuIN3 after structural relaxation, with properties calculated at the PBE-GGA level.

**Symmetry**: Pm-3m
**M_tot**: 2.04 μB/cell
**Uncorrected formation energy**: 2.5762 eV per atom

Lattice parameters (Å, degrees): 4.064 4.064 4.064 90.00 90.00 90.00
Fractional positions:
Au 0.000 0.000 0.000
I 0.500 0.500 0.500
N 0.000 0.500 0.500
N 0.500 0.000 0.500
N 0.500 0.500 0.000

Record 10
Below is YSc3F after structural relaxation, with properties calculated at the PBE-GGA level.

**Symmetry**: Pm-3m
**M_tot**: 0.00 μB/cell
**Uncorrected formation energy**: -0.8436 eV per atom

Lattice parameters (Å, degrees): 4.760 4.760 4.760 90.00 90.00 90.00
Fractional positions:
Y 0.000 0.000 0.000
Sc 0.000 0.500 0.500
Sc 0.500 0.000 0.500
Sc 0.500 0.500 0.000
F 0.500 0.500 0.500

Record 11
Below is Tb2NdSb2 after structural relaxation, with properties calculated at the PBE-GGA level.

**Symmetry**: C2/m
**M_tot**: 0.00 μB/cell
**Uncorrected formation energy**: -0.6864 eV per atom

Lattice parameters (Å, degrees): 4.534 4.534 7.926 106.42 106.42 90.41
Fractional positions:
Tb 0.249 0.751 0.000
Tb 0.751 0.249 0.000
Nd 0.500 0.500 0.500
Sb 0.105 0.105 0.706
Sb 0.895 0.895 0.294

Record 12
Below is Tl2HPdBr after structural relaxation, with properties calculated at the PBE-GGA level.

**Symmetry**: P4/mmm
**Total DFT energy (no corrections)**: -3.29 eV/atom
**M_tot**: 0.00 μB/cell

Lattice parameters (Å, degrees): 5.665 5.665 3.606 90.00 90.00 90.00
Fractional positions:
Tl 0.000 0.500 0.000
Tl 0.500 0.000 0.000
H 0.000 0.000 0.500
Pd 0.000 0.000 0.000
Br 0.500 0.500 0.500